Entry from the Alexandria database: a crystal of TcB3Se relaxed with PBEsol (SCAN).

Structure (CIF):
```
data_TcB3Se
_cell_length_a 4.120
_cell_length_b 4.120
_cell_length_c 4.120
_cell_angle_alpha 90.00
_cell_angle_beta 90.00
_cell_angle_gamma 90.00
_symmetry_space_group_name_H-M 'P m -3 m'
_symmetry_Int_Tables_number 221
_symmetry_space_group_name_Hall '-P 4 2 3'
loop_
_atom_site_label
_atom_site_fract_x
_atom_site_fract_y
_atom_site_fract_z
Tc1 0.000 0.000 0.000
B1 0.000 0.000 0.500
Se1 0.500 0.500 0.500
```

## Properties
**Total DFT energy (no corrections)**: -13.9146 eV/atom
**Energy relative to the elements, uncorrected**: 1571 meV per atom

Entry from the Alexandria database: a crystal of B2TeSe relaxed with PBEsol (SCAN).

Structure (CIF):
```
data_B2TeSe
_cell_length_a 6.148
_cell_length_b 6.148
_cell_length_c 6.148
_cell_angle_alpha 90.00
_cell_angle_beta 90.00
_cell_angle_gamma 90.00
_symmetry_space_group_name_H-M 'F m -3 m'
_symmetry_Int_Tables_number 225
_symmetry_space_group_name_Hall '-F 4 2 3'
loop_
_atom_site_label
_atom_site_fract_x
_atom_site_fract_y
_atom_site_fract_z
B1 0.250 0.250 0.250
Te1 0.000 0.000 0.000
Se1 0.000 0.000 0.500
```

## Properties
**E above lowest polymorph**: 3.617 eV per formula unit
**Total DFT energy (no corrections)**: -16.2628 eV/atom
**Energy relative to the elements, uncorrected**: 1784 meV per atom

Values for density, g/cm3, ordered as above
4.97, 6.52